Entry 1:
! LuScCoSi PBE relaxed; values from VASP
! **Energy relative to the lowest polymorph listed for this composition**: 0 meV per atom
! **Raw total energy**: -6.018 eV/atom
&SYSTEM
  ibrav = 0, nat = 4, ntyp = 4
/
ATOMIC_SPECIES
Lu 174.97 Lu.upf
Co 58.93 Co.upf
Si 28.09 Si.upf
Sc 44.96 Sc.upf
CELL_PARAMETERS angstrom
-1.5216 -0.0966 4.2588
-1.5882 3.7751 1.9205
-4.4262 0.4254 0.8306
ATOMIC_POSITIONS angstrom
Lu -3.7680 2.0520 3.5050
Co -5.6520 3.0779 5.2574
Si 0.0000 0.0000 0.0000
Sc -1.8840 1.0260 1.7525

Entry 2:
! PrZnInTe3 PBE relaxed; values from VASP
! **Energy relative to the lowest polymorph listed for this composition**: 25 meV per atom
! **Raw total energy**: -3.796 eV/atom
&SYSTEM
  ibrav = 0, nat = 12, ntyp = 4
/
ATOMIC_SPECIES
Te 127.60 Te.upf
Zn 65.41 Zn.upf
In 114.82 In.upf
Pr 140.91 Pr.upf
CELL_PARAMETERS angstrom
8.9074 0.0000 0.0000
0.0000 4.4342 0.0000
-3.1900 0.0000 10.6743
ATOMIC_POSITIONS angstrom
Te 2.1428 1.1085 8.9540
Te 4.7034 3.3256 5.8760
Te 7.9047 3.3256 1.6548
Te 1.0141 1.1085 4.7983
Te -2.1873 1.1085 9.0195
Te 3.5747 3.3256 1.7203
Zn 3.2046 1.1085 6.5056
Zn 2.5129 3.3256 4.1687
In -0.1162 3.3256 7.5443
In 5.8337 1.1085 3.1300
Pr 1.2957 1.1085 1.5068
Pr 4.4218 3.3256 9.1675

Entry 3:
! BiSbAu PBE relaxed; values from VASP
! **Energy relative to the lowest polymorph listed for this composition**: 0 meV per atom
! **Raw total energy**: -3.777 eV/atom
&SYSTEM
  ibrav = 0, nat = 12, ntyp = 3
/
ATOMIC_SPECIES
Sb 121.76 Sb.upf
Bi 208.98 Bi.upf
Au 196.97 Au.upf
CELL_PARAMETERS angstrom
-0.4052 2.6005 8.2028
-2.6876 -3.1983 0.8812
6.8606 -5.2162 1.9926
ATOMIC_POSITIONS angstrom
Sb 3.6137 -6.5756 2.6704
Sb 2.4067 -4.5117 6.4800
Sb 0.1541 0.7617 8.4062
Sb 1.3611 -1.3022 4.5965
Bi 2.5452 -1.3022 8.2080
Bi -2.1498 -0.8014 6.0493
Bi 1.2227 -4.5118 2.8686
Bi 5.9176 -5.0125 5.0272
Au 3.4973 -3.1839 4.2823
Au 0.2706 -2.6301 6.7942
Au 4.9696 -3.1571 8.8702
Au -1.2018 -2.6569 2.2064

Entry 4:
! TmLuSnC PBE relaxed; values from VASP
! **Raw total energy**: -6.161 eV/atom
&SYSTEM
  ibrav = 0, nat = 8, ntyp = 4
/
ATOMIC_SPECIES
Sn 118.71 Sn.upf
Tm 168.93 Tm.upf
Lu 174.97 Lu.upf
C 12.01 C.upf
CELL_PARAMETERS angstrom
3.5491 0.0000 0.0000
-1.7745 3.0736 0.0000
0.0000 0.0000 15.5094
ATOMIC_POSITIONS angstrom
Sn 1.7745 1.0245 0.0000
Sn 0.0000 2.0491 7.7547
Tm 0.0000 2.0491 2.5767
Tm 0.0000 2.0491 12.9327
Lu 1.7745 1.0245 5.1760
Lu 1.7745 1.0245 10.3334
C 0.0000 0.0000 3.8894
C 0.0000 0.0000 11.6200

Entry 5:
! TcSnNO PBE relaxed; values from VASP
! **Energy relative to the lowest polymorph listed for this composition**: 0 meV per atom
! **Raw total energy**: -7.248 eV/atom
&SYSTEM
  ibrav = 0, nat = 8, ntyp = 4
/
ATOMIC_SPECIES
N 14.01 N.upf
Sn 118.71 Sn.upf
Tc 98.00 Tc.upf
O 16.00 O.upf
CELL_PARAMETERS angstrom
3.8133 0.0000 0.0000
0.0000 3.8133 0.0000
0.0000 0.0000 8.5647
ATOMIC_POSITIONS angstrom
N 2.8600 2.8600 3.5508
N 0.9533 0.9533 5.0139
Sn 0.9533 0.9533 1.1784
Sn 2.8600 2.8600 7.3863
Tc 0.9533 2.8600 4.2823
Tc 2.8600 0.9533 4.2823
O 0.9533 2.8600 0.0000
O 2.8600 0.9533 0.0000

Entry 6:
! LiCd2Si PBE relaxed; values from VASP
! **Raw total energy**: -2.193 eV/atom
&SYSTEM
  ibrav = 0, nat = 4, ntyp = 3
/
ATOMIC_SPECIES
Li 6.94 Li.upf
Si 28.09 Si.upf
Cd 112.41 Cd.upf
CELL_PARAMETERS angstrom
0.0000 3.3366 3.3366
3.3366 0.0000 3.3366
3.3366 3.3366 0.0000
ATOMIC_POSITIONS angstrom
Li 1.6683 1.6683 1.6683
Si 3.3366 3.3366 3.3366
Cd 5.0049 5.0049 5.0049
Cd 0.0000 0.0000 0.0000

Entry 7:
! NdYZn2Si2 PBE relaxed; values from VASP
! **Energy relative to the lowest polymorph listed for this composition**: 0 meV per atom
! **Raw total energy**: -4.752 eV/atom
&SYSTEM
  ibrav = 0, nat = 12, ntyp = 4
/
ATOMIC_SPECIES
Si 28.09 Si.upf
Y 88.91 Y.upf
Zn 65.41 Zn.upf
Nd 144.24 Nd.upf
CELL_PARAMETERS angstrom
-0.0646 -4.1285 0.5482
3.6198 2.0581 0.1023
-1.6911 2.1718 16.1554
ATOMIC_POSITIONS angstrom
Si 0.1075 -0.7102 10.4872
Si 2.1813 0.2661 2.2609
Si -0.3172 -0.1647 14.5450
Si 1.7565 0.8116 6.3186
Y -0.4228 0.5429 4.0388
Y -1.2684 1.6288 12.1165
Zn 1.3166 1.3765 10.5211
Zn 0.5475 -1.2752 6.2847
Zn 0.9300 1.8729 14.2138
Zn 0.9340 -1.7716 2.5921
Nd 0.0000 0.0000 0.0000
Nd -0.8456 1.0859 8.0777

Entry 8:
! LaNiB PBE relaxed; values from VASP
! **Energy relative to the lowest polymorph listed for this composition**: 707 meV per atom
! **Raw total energy**: -4.733 eV/atom
&SYSTEM
  ibrav = 0, nat = 3, ntyp = 3
/
ATOMIC_SPECIES
B 10.81 B.upf
Ni 58.69 Ni.upf
La 138.91 La.upf
CELL_PARAMETERS angstrom
4.3622 0.7556 0.0723
1.7048 2.8505 2.9280
2.4496 -1.4914 3.3735
ATOMIC_POSITIONS angstrom
B 2.1291 0.5287 1.5934
Ni 6.3874 1.5860 4.7804
La 0.0000 0.0000 0.0000

Entry 9:
! Ba2Ta2O5 PBE relaxed; values from VASP
! **Energy relative to the lowest polymorph listed for this composition**: 0 meV per atom
! **Raw total energy**: -8.307 eV/atom
&SYSTEM
  ibrav = 0, nat = 9, ntyp = 3
/
ATOMIC_SPECIES
O 16.00 O.upf
Ta 180.95 Ta.upf
Ba 137.33 Ba.upf
CELL_PARAMETERS angstrom
-1.2053 7.3613 3.1231
-3.5371 -1.2693 1.6268
1.9710 -1.1236 3.4089
ATOMIC_POSITIONS angstrom
O 0.6912 1.2360 2.4672
O -2.0629 1.1631 1.5761
O -2.6795 4.9289 3.1738
O -1.3856 2.4842 4.0794
O 0.0746 5.0018 4.0649
Ta -1.6943 4.3693 4.8792
Ta -1.0770 0.5992 3.2796
Ba -0.6026 3.6807 1.5616
Ba 0.0000 0.0000 0.0000

Entry 10:
! TeIrSe PBE relaxed; values from VASP
! **Raw total energy**: -5.381 eV/atom
&SYSTEM
  ibrav = 0, nat = 12, ntyp = 3
/
ATOMIC_SPECIES
Te 127.60 Te.upf
Se 78.96 Se.upf
Ir 192.22 Ir.upf
CELL_PARAMETERS angstrom
0.0000 5.2609 5.2609
5.2609 0.0000 5.2609
5.2609 5.2609 0.0000
ATOMIC_POSITIONS angstrom
Te 4.0008 4.0008 6.5209
Te 6.5209 4.0008 4.0008
Te 4.0008 6.5209 4.0008
Te 6.5209 6.5209 6.5209
Se 1.3467 1.3467 1.3467
Se 1.3467 3.9141 3.9141
Se 3.9141 1.3467 3.9141
Se 3.9141 3.9141 1.3467
Ir 6.6676 3.8541 6.6676
Ir 3.8541 3.8541 3.8541
Ir 6.6676 6.6676 3.8541
Ir 3.8541 6.6676 6.6676

Entry 11:
! TcPtNO PBE relaxed; values from VASP
! **Energy relative to the lowest polymorph listed for this composition**: 0 meV per atom
! **Raw total energy**: -7.587 eV/atom
&SYSTEM
  ibrav = 0, nat = 8, ntyp = 4
/
ATOMIC_SPECIES
Pt 195.08 Pt.upf
N 14.01 N.upf
Tc 98.00 Tc.upf
O 16.00 O.upf
CELL_PARAMETERS angstrom
-1.3437 -5.2123 -1.3244
2.0100 0.1483 -2.6227
4.9836 -2.2233 3.6936
ATOMIC_POSITIONS angstrom
Pt 1.2259 -5.7575 0.6140
Pt 2.0202 -3.2059 1.3670
N 0.5504 -3.9391 0.1991
N 3.3972 -2.3032 2.4733
Tc 1.1807 -2.9691 -1.3487
Tc 5.1137 -1.8178 1.7305
O 1.0578 -1.1338 -1.3391
O 4.7162 -5.6718 1.2080

Entry 12:
! RbHfSi PBE relaxed; values from VASP
! **Energy relative to the lowest polymorph listed for this composition**: 934 meV per atom
! **Raw total energy**: -3.512 eV/atom
&SYSTEM
  ibrav = 0, nat = 3, ntyp = 3
/
ATOMIC_SPECIES
Hf 178.49 Hf.upf
Si 28.09 Si.upf
Rb 85.47 Rb.upf
CELL_PARAMETERS angstrom
-4.6057 -1.3460 -1.3365
-3.7914 3.1772 0.5838
-2.1440 2.0785 -3.9866
ATOMIC_POSITIONS angstrom
Hf -2.6353 0.9774 -1.1848
Si -7.9058 2.9323 -3.5544
Rb 0.0000 0.0000 0.0000